Entry 1:
# PBE-GGA Sr2NiPt, relaxed
data_Sr2NiPt
_cell_length_a 4.2989
_cell_length_b 4.2989
_cell_length_c 21.5856
_cell_angle_alpha 90.00
_cell_angle_beta 90.00
_cell_angle_gamma 120.00
_space_group_name_H-M_alt 'R -3 m'
_space_group_IT_number 166
_space_group_name_Hall '-R 3 2"'
loop_
_atom_site_label
_atom_site_fract_x
_atom_site_fract_y
_atom_site_fract_z
_atom_site_occupancy
Sr1 0.0000 0.0000 0.2486 1
Ni1 0.0000 0.0000 0.0000 1
Pt1 0.0000 0.0000 0.5000 1
# ΔE_f (eV/atom): -0.139
# Mass density (g/cm³): 6.19

Entry 2:
# PBE-GGA Sr2NiPt, relaxed
data_Sr2NiPt
_cell_length_a 3.578
_cell_length_b 3.578
_cell_length_c 8.606
_cell_angle_alpha 90.00
_cell_angle_beta 90.00
_cell_angle_gamma 90.00
_space_group_name_H-M_alt 'P 4 m m'
_space_group_IT_number 99
loop_
_space_group_symop_operation_xyz
'x,y,z'
'-y,x,z'
'-x,-y,z'
'y,-x,z'
'-x,y,z'
'y,x,z'
'x,-y,z'
'-y,-x,z'
loop_
_atom_site_label
_atom_site_fract_x
_atom_site_fract_y
_atom_site_fract_z
_atom_site_occupancy
Sr1 0.000 0.000 0.000 1
Sr2 0.500 0.500 0.429 1
Ni1 0.000 0.000 0.680 1
Pt1 0.500 0.500 0.762 1
# ΔE_f (eV/atom): -0.101
# Mass density (g/cm³): 6.46

Entry 3:
# PBE-GGA SrNiPt, relaxed
data_SrNiPt
_cell_length_a 4.1945
_cell_length_b 4.1945
_cell_length_c 4.3717
_cell_angle_alpha 90.00
_cell_angle_beta 90.00
_cell_angle_gamma 120.00
_space_group_name_H-M_alt 'P -6 m 2'
_space_group_IT_number 187
_space_group_name_Hall 'P -6 2'
loop_
_atom_site_label
_atom_site_fract_x
_atom_site_fract_y
_atom_site_fract_z
_atom_site_occupancy
Sr1 0.0000 0.0000 0.0000 1
Ni1 0.6667 0.3333 0.5000 1
Pt1 0.3333 0.6667 0.5000 1
# ΔE_f (eV/atom): -0.482
# Mass density (g/cm³): 8.51